Entry 1:
{
  "formula": "Cd2GeSbO",
  "functional": "PBE",
  "state": "relaxed",
  "lattice_angstrom": [[5.664, 0.000, 0.000], [0.000, 5.664, 0.000], [0.000, 0.000, 4.013]],
  "species": ["Cd", "Cd", "Ge", "Sb", "O"],
  "fractional_positions": [[0.000, 0.500, 0.000], [0.500, 0.000, 0.000], [0.000, 0.000, 0.500], [0.500, 0.500, 0.000], [0.500, 0.500, 0.500]],
  "n_ef_per_ev_atom": 0.60,
  "formation_energy_uncorrected_kj_per_mol_fu": 95.2,
  "sg": "No. 123",
  "total_energy_ev_per_atom": -2.9084
}

---

Entry 2:
{
  "formula": "Cd2GeSbO6",
  "functional": "PBE",
  "state": "relaxed",
  "lattice_angstrom": [[5.264, 0.000, 0.000], [0.000, 5.264, 0.000], [0.000, 0.000, 5.014]],
  "species": ["Cd", "Cd", "Ge", "Sb", "O", "O", "O", "O", "O", "O"],
  "fractional_positions": [[0.000, 0.500, 0.000], [0.500, 0.000, 0.000], [0.000, 0.000, 0.563], [0.500, 0.500, 0.559], [0.000, 0.000, 0.211], [0.242, 0.242, 0.696], [0.242, 0.758, 0.696], [0.500, 0.500, 0.169], [0.758, 0.242, 0.696], [0.758, 0.758, 0.696]],
  "n_ef_per_ev_atom": 0.15,
  "formation_energy_uncorrected_kj_per_mol_fu": -1077.2,
  "sg": "No. 99",
  "total_energy_ev_per_atom": -5.1483
}

---

Q: Number 1 is which compound?
A: Cd2GeSbO